Entry from the Alexandria database: Ac5HoHg6 after structural relaxation (PBE-GGA).

Results
As for the space group: C2/m. The spin magnetization is 1.12 μB per formula unit. For the formation energy, the calculation gives -0.46 eV per atom.

Cell: 5.6290 7.9817 9.7790 Å, 65.91 73.43 90.00°
Sites, in units of the cell vectors:
Ac (0.6727, 0.1722, 0.6555)
Ac (0.3361, 0.3363, 0.3274)
Ac (0.0000, 0.5000, 0.0000)
Ac (0.6639, 0.6637, 0.6726)
Ac (0.3273, 0.8278, 0.3445)
Ho (0.0000, 0.0000, 0.0000)
Hg (0.8418, 0.6077, 0.3150)
Hg (0.8418, 0.0774, 0.3149)
Hg (0.5000, 0.7779, 0.0000)
Hg (0.5000, 0.2221, 0.0000)
Hg (0.1582, 0.9226, 0.6851)
Hg (0.1582, 0.3923, 0.6850)